# 1
Computed, not measured: a geometry-optimized K2BaY structure at the PBE-GGA level of DFT.

The calculation puts the volume at 53.7 Å³ per atom. For the magnetic moment, the calculation gives 4.36 μB per cell. As for the density of states at the Fermi level: 5.70 states/eV/f.u. The calculation puts the formation energy at 0.530 eV/atom. As for the polymorph energy (0 for the lowest one): 267 meV per atom.

The structure belongs to space group Fm-3m (No. 225); the cell edges are 9.510, 9.510 and 9.510 Å and the angles 90.00°, 90.00° and 90.00°. The distinct sites, in fractional coordinates, are K at (0.250, 0.250, 0.250), Ba at (0.000, 0.000, 0.000) and Y at (0.000, 0.000, 0.500).

# 2
Computed, not measured: a geometry-optimized Y6Te3C structure at the PBE-GGA level of DFT.

The calculation puts the volume at 29.8 Å³ per atom. For the magnetic moment, the calculation gives 0.00 μB per cell. The formation energy without anion corrections comes out at -0.7300 eV/atom. As for the density of states at the Fermi level: 9.15 states/eV/f.u.

The structure belongs to space group Cmc2_1 (No. 36); the cell edges are 11.558, 15.050 and 6.860 Å and the angles 90.00°, 90.00° and 90.00°. The distinct sites, in fractional coordinates, are Y at (0.000, 0.055, 0.000), Y at (0.000, 0.210, 0.428), Y at (0.160, 0.268, 0.978), Y at (0.160, 0.427, 0.526), Te at (0.000, 0.427, 0.879), Te at (0.180, 0.084, 0.671) and C at (0.000, 0.196, 0.100).

# 3
Computed, not measured: a geometry-optimized K2PtRhO4 structure at the PBE-GGA level of DFT.

The calculation puts the volume at 16.4 Å³ per atom. For the magnetic moment, the calculation gives 1.72 μB per cell. The formation energy without anion corrections comes out at -0.7402 eV/atom. As for the density of states at the Fermi level: 5.84 states/eV/f.u.

The structure belongs to space group I-4 (No. 82); the cell edges are 6.204, 6.204 and 6.807 Å and the angles 90.00°, 90.00° and 90.00°. The distinct sites, in fractional coordinates, are K at (0.000, 0.000, 0.000), K at (0.000, 0.500, 0.250), Pt at (0.000, 0.500, 0.750), Rh at (0.000, 0.000, 0.500) and O at (0.133, 0.789, 0.686).

Values for mass density, g/cm3, ordered as above
2.35; 5.17; 5.58